Material: NaBeTePb2
Method: DFT, GGA-PBE
State: relaxed

Results
- formation energy (no corrections) (meV per atom) = 155
- symmetry = No. 123
- V (Å³/f.u.) = 139
- magnetic moment (Bohr magnetons per cell) = 0.00

Cell: 5.0148 5.5261 5.0148 Å, 90.00 90.00 90.00°
Sites, in units of the cell vectors:
Te  0.5000  0.5000  0.5000
Be  0.0000  0.0000  0.0000
Pb  0.0000  0.0000  0.5000
Pb  0.5000  0.0000  0.0000
Na  0.0000  0.5000  0.0000